Here is crystalline Pm6Sm12Cd at its relaxed geometry from the Alexandria database. Energies are from PBE-GGA.

a b c (Å): 8.7601 8.7601 8.7601
angles (deg): 97.16 97.16 97.16
With the nearest neighbours (Å) after each atom.
Element x y z (fractional)
Sm1 0.5807 0.1710 0.5809  5 Sm 3.22-3.53
Sm2 0.9995 0.7395 0.2606  4 Pm 3.39-3.53, 6 Sm 3.42-3.72, 1 Cd 3.42
Sm3 0.4193 0.8290 0.4191  5 Sm 3.22-3.53
Sm4 0.2606 0.9995 0.7395  4 Pm 3.39-3.53, 1 Cd 3.42, 6 Sm 3.42-3.72
Sm5 0.1710 0.5809 0.5807  5 Sm 3.22-3.53
Sm6 0.5809 0.5807 0.1710  5 Sm 3.22-3.53
Sm7 0.8290 0.4191 0.4193  5 Sm 3.22-3.53
Sm8 0.4191 0.4193 0.8290  5 Sm 3.22-3.53
Sm9 0.7395 0.2606 0.9995  4 Pm 3.39-3.53, 6 Sm 3.42-3.72, 1 Cd 3.42
Sm10 0.7394 0.0005 0.2606  4 Pm 3.39-3.53, 6 Sm 3.42-3.72, 1 Cd 3.42
Sm11 0.0005 0.2606 0.7394  4 Pm 3.39-3.53, 1 Cd 3.42, 6 Sm 3.42-3.72
Sm12 0.2606 0.7394 0.0005  4 Pm 3.39-3.53, 6 Sm 3.42-3.72, 1 Cd 3.42
Cd1 0.0000 0.0000 0.0000  6 Sm 3.42, 6 Pm 3.61
Pm1 0.8662 0.5937 0.8657  4 Sm 3.39-3.53, 3 Pm 3.58-3.78, 1 Cd 3.61
Pm2 0.1343 0.1338 0.4063  4 Sm 3.39-3.53, 3 Pm 3.58-3.78, 1 Cd 3.61
Pm3 0.4063 0.1343 0.1338  4 Sm 3.39-3.53, 3 Pm 3.58-3.78, 1 Cd 3.61
Pm4 0.8657 0.8662 0.5937  4 Sm 3.39-3.53, 3 Pm 3.58-3.78, 1 Cd 3.61
Pm5 0.1338 0.4063 0.1343  4 Sm 3.39-3.53, 3 Pm 3.58-3.78, 1 Cd 3.61
Pm6 0.5937 0.8657 0.8662  4 Sm 3.39-3.53, 3 Pm 3.58-3.78, 1 Cd 3.61

Properties
Symmetry   R-3m (166)
M_tot   0.00 μB per cell
E above lowest polymorph   16 meV per atom